The following is a DFT calculation (PBE) of a geometry-optimized Ca5Sb2F2 structure.

POSCAR file:
```
Ca5Sb2F2
1.0
6.588 -2.601 0.000
6.588 2.601 0.000
-2.094 0.000 6.752
Ca Sb F
5 2 2
Cartesian
0.000 0.000 0.000
0.957 0.000 3.655
4.244 0.000 0.776
6.839 0.000 5.976
10.125 0.000 3.097
3.912 0.000 4.791
7.171 0.000 1.961
0.296 0.000 5.979
10.786 0.000 0.773
```

## Properties
* DOS(E_F): 5.69 states/eV/f.u.
* total DFT energy (no corrections): -4.11 eV/atom
* M_tot: 0.0 μB per formula unit
* SG: C2/m

=====

The following is a DFT calculation (PBE) of a geometry-optimized Ti8C4N3O structure.

POSCAR file:
```
Ti8C4N3O
1.0
3.034 1.752 4.987
-3.034 1.752 4.987
0.000 -3.504 4.987
Ti C N O
8 4 3 1
Cartesian
0.000 0.000 3.731
-1.488 -0.859 8.686
0.000 -1.718 6.276
-1.488 0.859 6.276
1.488 -0.859 8.686
0.000 1.718 8.686
1.488 0.859 6.276
0.000 0.000 11.230
-3.034 0.000 7.481
-1.517 0.876 2.494
1.517 0.876 2.494
0.000 0.000 7.481
-1.517 -0.876 4.987
-1.517 0.876 9.974
0.000 1.752 4.987
0.000 0.000 0.000
```

## Properties
* DOS(E_F): 4.02 states/eV/f.u.
* total DFT energy (no corrections): -9.54 eV/atom
* M_tot: 0.0 μB per formula unit
* SG: R-3m

=====

The following is a DFT calculation (PBE) of a geometry-optimized ScCr2Ni structure.

POSCAR file:
```
ScCr2Ni
1.0
3.525 0.000 0.000
0.000 3.525 0.000
0.000 0.000 8.828
Sc Cr Ni
2 4 2
Cartesian
0.000 0.000 0.000
1.762 1.762 4.414
0.000 1.762 2.207
0.000 1.762 6.621
1.762 0.000 2.207
1.762 0.000 6.621
0.000 0.000 4.414
1.762 1.762 0.000
```

## Properties
* DOS(E_F): 3.07 states/eV/f.u.
* M_tot: 0.0 μB per formula unit
* SG: I4/mmm
* formation energy: 0.210 eV/atom

=====

The following is a DFT calculation (PBE) of a geometry-optimized MgCdInPb structure.

POSCAR file:
```
MgCdInPb
1.0
7.470 0.000 0.000
0.000 7.470 0.000
0.000 0.000 7.470
Mg Cd In Pb
4 4 4 4
Cartesian
0.000 0.000 0.000
0.000 3.735 3.735
3.735 0.000 3.735
3.735 3.735 0.000
0.000 0.000 3.735
0.000 3.735 0.000
3.735 0.000 0.000
3.735 3.735 3.735
1.868 1.868 1.868
1.868 5.603 5.603
5.603 1.868 5.603
5.603 5.603 1.868
1.868 1.868 5.603
1.868 5.603 1.868
5.603 1.868 1.868
5.603 5.603 5.603
```

## Properties
* DOS(E_F): 1.94 states/eV/f.u.
* M_tot: 0.0 μB per formula unit
* SG: F-43m
* formation energy: 0.027 eV/atom

=====

The following is a DFT calculation (PBE) of a geometry-optimized K2Ru2O7 structure.

POSCAR file:
```
K2Ru2O7
1.0
3.837 -5.427 0.000
3.837 5.427 0.000
-1.041 0.000 5.523
K Ru O
2 2 7
Cartesian
3.837 3.356 0.000
3.837 -3.356 0.000
1.559 0.000 3.236
5.074 0.000 2.287
0.687 0.000 1.692
1.316 1.475 4.186
1.316 -1.475 4.186
3.317 0.000 2.761
5.318 1.475 1.337
5.318 -1.475 1.337
5.946 0.000 3.831
```

## Properties
* DOS(E_F): 1.74 states/eV/f.u.
* total DFT energy (no corrections): -6.13 eV/atom
* M_tot: 0.0 μB per formula unit
* SG: C2/m

=====

The following is a DFT calculation (PBE) of a geometry-optimized NaNb2Ge2 structure.

POSCAR file:
```
NaNb2Ge2
1.0
4.193 0.000 0.000
0.000 4.193 0.000
0.000 0.000 11.763
Na Nb Ge
2 4 4
Cartesian
0.000 0.000 0.000
2.097 2.097 5.881
0.000 2.097 2.941
0.000 2.097 8.822
2.097 0.000 2.941
2.097 0.000 8.822
0.000 0.000 4.586
0.000 0.000 7.176
2.097 2.097 1.295
2.097 2.097 10.468
```

## Properties
* DOS(E_F): 4.23 states/eV/f.u.
* M_tot: 0.0 μB per formula unit
* SG: I4/mmm
* formation energy: -0.006 eV/atom

=====

The following is a DFT calculation (PBE) of a geometry-optimized PmCuGe structure.

POSCAR file:
```
PmCuGe
1.0
6.358 0.000 0.000
0.000 6.358 0.000
0.000 0.000 6.358
Pm Cu Ge
4 4 4
Cartesian
0.000 0.000 0.000
0.000 3.179 3.179
3.179 0.000 3.179
3.179 3.179 0.000
1.589 1.589 1.589
1.589 4.768 4.768
4.768 1.589 4.768
4.768 4.768 1.589
0.000 0.000 3.179
0.000 3.179 0.000
3.179 0.000 0.000
3.179 3.179 3.179
```

## Properties
* DOS(E_F): 0.56 states/eV/f.u.
* M_tot: 0.0 μB per formula unit
* SG: F-43m
* formation energy: -0.544 eV/atom

=====

The following is a DFT calculation (PBE) of a geometry-optimized PmThCuPd structure.

POSCAR file:
```
PmThCuPd
1.0
7.198 0.000 0.000
0.000 7.198 0.000
0.000 0.000 7.198
Pm Th Cu Pd
4 4 4 4
Cartesian
0.000 0.000 0.000
0.000 3.599 3.599
3.599 0.000 3.599
3.599 3.599 0.000
0.000 0.000 3.599
0.000 3.599 0.000
3.599 0.000 0.000
3.599 3.599 3.599
1.800 1.800 1.800
1.800 5.399 5.399
5.399 1.800 5.399
5.399 5.399 1.800
1.800 1.800 5.399
1.800 5.399 1.800
5.399 1.800 1.800
5.399 5.399 5.399
```

## Properties
* DOS(E_F): 3.60 states/eV/f.u.
* M_tot: 0.0 μB per formula unit
* SG: F-43m
* formation energy: -0.386 eV/atom

=====

The following is a DFT calculation (PBE) of a geometry-optimized Tb4Er2Sc5 structure.

POSCAR file:
```
Tb4Er2Sc5
1.0
9.016 0.000 0.000
0.000 3.400 0.000
-1.405 0.000 10.368
Tb Er Sc
4 2 5
Cartesian
1.760 0.000 1.500
1.586 0.000 6.856
6.026 0.000 3.512
5.851 0.000 8.869
0.150 1.700 3.944
7.461 1.700 6.425
-0.194 1.700 9.230
3.189 1.700 3.892
4.508 1.700 0.000
4.422 1.700 6.477
7.805 1.700 1.138
```

## Properties
* DOS(E_F): 15.73 states/eV/f.u.
* M_tot: 0.3 μB per formula unit
* SG: P2/m
* formation energy: 0.177 eV/atom